DFT (PBE) results for a relaxed structure of PrDy2Tl2.

```
PrDy2Tl2
1.0
5.2846 0.0000 0.0000
0.0054 6.8971 0.0000
0.0080 2.8553 8.2105
Pr Dy Tl
2 4 4
direct
0.2503 0.2459 0.2532
0.7497 0.7541 0.7468
0.2496 0.6660 0.4612
0.2507 0.8310 0.0429
0.7493 0.1690 0.9571
0.7504 0.3340 0.5388
0.2492 0.4250 0.8392
0.2502 0.0808 0.6663
0.7498 0.9192 0.3337
0.7508 0.5750 0.1608
```

Polymorph energy (0 for the lowest one) ... 0.031 eV/f.u.
SG ... P-1 (2)
Formation enthalpy at 0 K ... -0.276 eV per atom
Spin magnetization ... 0.0 Bohr magnetons per cell